No. 1
Density functional theory data (PBE-GGA) for an optimized crystal structure of Ta5AlMo4.

Results
DFT formation energy (eV per atom): -0.20
Volume (A^3/atom): 16.88
Theoretical density (Mg/m³): 12.94

Cell lengths 3.276, 3.276, 15.730 Å; angles 90.00, 90.00, 90.00 degrees
Space group P4/mmm (No. 123)
One atom of each set of equivalent atoms:
Ta1 0.000 0.000 0.000 [1 per cell]
Ta2 0.000 0.000 0.202 [2 per cell]
Ta3 0.000 0.000 0.400 [2 per cell]
Al1 0.500 0.500 0.500 [1 per cell]
Mo1 0.500 0.500 0.102 [2 per cell]
Mo2 0.500 0.500 0.307 [2 per cell]

No. 2
Density functional theory data (PBE-GGA) for an optimized crystal structure of RbSb2Pb2.

Results
Energy relative to the lowest polymorph listed for this composition (kJ per mole of atoms): 7.67
Volume (A^3/atom): 34.70
Energy relative to the elements, uncorrected (eV per formula unit): -0.48
Theoretical density (Mg/m³): 7.11

Cell lengths 9.332, 9.332, 3.985 Å; angles 90.00, 90.00, 90.00 degrees
Space group P4/mbm (No. 127)
One atom of each set of equivalent atoms:
Rb1 0.000 0.000 0.000 [2 per cell]
Sb1 0.151 0.349 0.500 [4 per cell]
Pb1 0.127 0.627 0.000 [4 per cell]

No. 3
Density functional theory data (PBE-GGA) for an optimized crystal structure of Ce3SbCCl.

Results
Volume (A^3/atom): 25.19
Energy relative to the elements, uncorrected (eV per formula unit): -4.86
Theoretical density (Mg/m³): 6.48

Cell lengths 7.729, 3.895, 10.693 Å; angles 90.00, 110.08, 90.00 degrees
Space group P2_1/m (No. 11)
One atom of each set of equivalent atoms:
Ce1 0.132 0.250 0.144 [2 per cell]
Ce2 0.296 0.750 0.503 [2 per cell]
Ce3 0.301 0.750 0.901 [2 per cell]
Sb1 0.485 0.750 0.257 [2 per cell]
C1 0.115 0.250 0.924 [2 per cell]
Cl1 0.001 0.750 0.629 [2 per cell]

No. 4
Density functional theory data (PBE-GGA) for an optimized crystal structure of Be2HSe.

Results
Energy relative to the lowest polymorph listed for this composition (kJ per mole of atoms): 2.43
Volume (A^3/atom): 13.44
Theoretical density (Mg/m³): 3.03

Cell lengths 9.206, 6.072, 3.928 Å; angles 90.00, 101.57, 90.00 degrees
Space group Cm (No. 8)
One atom of each set of equivalent atoms:
Be1 0.000 0.000 0.000 [2 per cell]
Be2 0.072 0.193 0.540 [4 per cell]
Be3 0.367 0.500 0.453 [2 per cell]
H1 0.429 0.322 0.711 [4 per cell]
Se1 0.126 0.500 0.306 [2 per cell]
Se2 0.225 0.000 0.909 [2 per cell]

No. 5
Density functional theory data (PBE-GGA) for an optimized crystal structure of Sb3PdI.

Results
Energy relative to the lowest polymorph listed for this composition (kJ per mole of atoms): 0.00
Volume (A^3/atom): 31.31
Energy relative to the elements, uncorrected (eV per formula unit): -0.76
Theoretical density (Mg/m³): 6.35

Cell lengths 8.250, 4.380, 8.665 Å; angles 90.00, 90.01, 90.00 degrees
Space group P2_1 (No. 4)
One atom of each set of equivalent atoms:
Sb1 0.136 0.000 0.032 [2 per cell]
Sb2 0.136 0.001 0.468 [2 per cell]
Sb3 0.246 0.342 0.750 [2 per cell]
Pd1 0.014 0.858 0.750 [2 per cell]
I1 0.452 0.464 0.250 [2 per cell]

No. 6
Density functional theory data (PBE-GGA) for an optimized crystal structure of SmPaOsRu.

Results
DFT formation energy (eV per atom): -0.20
Volume (A^3/atom): 20.66
Theoretical density (Mg/m³): 13.52

Cell lengths 6.915, 6.915, 6.915 Å; angles 90.00, 90.00, 90.00 degrees
Space group F-43m (No. 216)
One atom of each set of equivalent atoms:
Sm1 0.000 0.000 0.000 [4 per cell]
Pa1 0.000 0.000 0.500 [4 per cell]
Os1 0.250 0.250 0.250 [4 per cell]
Ru1 0.250 0.250 0.750 [4 per cell]

No. 7
Density functional theory data (PBE-GGA) for an optimized crystal structure of CeNdThSc.

Results
DFT formation energy (eV per atom): 0.07
Energy relative to the lowest polymorph listed for this composition (kJ per mole of atoms): 0.00
Volume (A^3/atom): 29.96
Theoretical density (Mg/m³): 7.78

Cell lengths 3.5067, 3.5067, 33.7609 Å; angles 90.00, 90.00, 120.00 degrees
Space group R3m (No. 160, hexagonal axes)
One atom of each set of equivalent atoms:
Ce1 0.0000 0.0000 0.0000 [3 per cell]
Nd1 0.0000 0.0000 0.2456 [3 per cell]
Th1 0.0000 0.0000 0.4159 [3 per cell]
Sc1 0.0000 0.0000 0.8281 [3 per cell]

No. 8
Density functional theory data (PBE-GGA) for an optimized crystal structure of CaLa3Rh.

Results
DFT formation energy (eV per atom): 1.18
Energy relative to the lowest polymorph listed for this composition (kJ per mole of atoms): 141.62
Volume (A^3/atom): 34.04
Theoretical density (Mg/m³): 5.46

Cell lengths 5.542, 5.542, 5.542 Å; angles 90.00, 90.00, 90.00 degrees
Space group Pm-3m (No. 221)
One atom of each set of equivalent atoms:
Ca1 0.000 0.000 0.000 [1 per cell]
La1 0.000 0.000 0.500 [3 per cell]
Rh1 0.500 0.500 0.500 [1 per cell]

No. 9
Density functional theory data (PBE-GGA) for an optimized crystal structure of La4CePr3Te8.

Results
Volume (A^3/atom): 33.39
Energy relative to the elements, uncorrected (eV per formula unit): -24.17
Theoretical density (Mg/m³): 6.65

Cell lengths 9.1108, 9.1108, 22.2986 Å; angles 90.00, 90.00, 120.00 degrees
Space group R-3m (No. 166, hexagonal axes)
One atom of each set of equivalent atoms:
La1 0.0000 0.0000 0.0000 [3 per cell]
La2 0.0000 0.5000 0.0000 [9 per cell]
Ce1 0.0000 0.0000 0.5000 [3 per cell]
Pr1 0.0000 0.5000 0.5000 [9 per cell]
Te1 0.0000 0.0000 0.2493 [6 per cell]
Te2 0.0017 0.5008 0.2488 [18 per cell]

No. 10
Density functional theory data (PBE-GGA) for an optimized crystal structure of AcLuGeIr.

Results
DFT formation energy (eV per atom): -0.49
Volume (A^3/atom): 24.05
Theoretical density (Mg/m³): 11.51

Cell lengths 7.274, 7.274, 7.274 Å; angles 90.00, 90.00, 90.00 degrees
Space group F-43m (No. 216)
One atom of each set of equivalent atoms:
Ac1 0.000 0.000 0.000 [4 per cell]
Lu1 0.000 0.000 0.500 [4 per cell]
Ge1 0.250 0.250 0.250 [4 per cell]
Ir1 0.250 0.250 0.750 [4 per cell]

No. 11
Density functional theory data (PBE-GGA) for an optimized crystal structure of SrCS2.

Results
Volume (A^3/atom): 20.75
Energy relative to the elements, uncorrected (eV per formula unit): 0.61
Theoretical density (Mg/m³): 3.28

Cell lengths 6.080, 6.080, 8.979 Å; angles 90.00, 90.00, 90.00 degrees
Space group I-42d (No. 122)
One atom of each set of equivalent atoms:
Sr1 0.000 0.000 0.000 [4 per cell]
C1 0.000 0.000 0.500 [4 per cell]
S1 0.107 0.250 0.625 [8 per cell]

No. 12
Density functional theory data (PBE-GGA) for an optimized crystal structure of ScNb3Hg.

Results
DFT formation energy (eV per atom): 1.67
Energy relative to the lowest polymorph listed for this composition (kJ per mole of atoms): 16.04
Volume (A^3/atom): 26.14
Theoretical density (Mg/m³): 6.66

Cell lengths 5.075, 5.075, 5.075 Å; angles 90.00, 90.00, 90.00 degrees
Space group Pm-3m (No. 221)
One atom of each set of equivalent atoms:
Sc1 0.000 0.000 0.000 [1 per cell]
Nb1 0.000 0.500 0.500 [3 per cell]
Hg1 0.500 0.500 0.500 [1 per cell]

Question: Look up the theoretical density of the eighth one.
Answer: 5.46 Mg/m³